(1)
# KMgV | Alexandria | GGA-PBE | relaxed
data_KMgV
_symmetry_space_group_name_H-M 'P 1'
_symmetry_Int_Tables_number 1
_cell_length_a 4.217
_cell_length_b 4.217
_cell_length_c 12.369
_cell_angle_alpha 101.92
_cell_angle_beta 101.92
_cell_angle_gamma 69.62
loop_
_symmetry_equiv_pos_as_xyz
'x,y,z'
loop_
_atom_site_label
_atom_site_fract_x
_atom_site_fract_y
_atom_site_fract_z
_atom_site_occupancy
K1 0.000 0.000 0.000 1
K2 0.664 0.664 0.326 1
Mg1 0.282 0.282 0.542 1
Mg2 0.390 0.390 0.784 1
V1 0.701 0.701 0.663 1
V2 0.971 0.971 0.662 1
# * energy of formation: 1.41 eV/f.u.
# * SG: No. 8
# * total magnetic moment: 0.00 μB/atom
# * ρ: 1.90 g cm⁻³

(2)
# KMgV | Alexandria | GGA-PBE | relaxed
data_KMgV
_symmetry_space_group_name_H-M 'P 1'
_symmetry_Int_Tables_number 1
_cell_length_a 6.304
_cell_length_b 6.304
_cell_length_c 6.304
_cell_angle_alpha 137.85
_cell_angle_beta 108.96
_cell_angle_gamma 86.20
loop_
_symmetry_equiv_pos_as_xyz
'x,y,z'
loop_
_atom_site_label
_atom_site_fract_x
_atom_site_fract_y
_atom_site_fract_z
_atom_site_occupancy
K1 0.386 0.136 0.250 1
K2 0.614 0.864 0.750 1
Mg1 0.000 0.500 0.500 1
Mg2 0.500 0.500 0.000 1
V1 0.004 0.754 0.250 1
V2 0.996 0.246 0.750 1
# * energy of formation: 2.53 eV/f.u.
# * SG: No. 74
# * total magnetic moment: 0.00 μB/atom
# * ρ: 2.48 g cm⁻³

no.,raw total energy (eV per cell),relative energy among the computed polymorphs (kJ/mol of formula units)
1,-20.8,29
2,-18.6,137